# 1
A PBEsol-optimized structure of Rb2PbCl, computed with meta-GGA SCAN.

Calculated values
* energy relative to the elements, uncorrected: -737 meV/atom

Cell: 6.104 6.104 6.104 Å, 60.00 60.00 60.00°
Last column: magnetic moment on the atom in μB.
Fractional positions:
Pb1 0.500 0.500 0.500  0.83
Rb1 0.250 0.250 0.250  0.07
Rb2 0.750 0.750 0.750  0.07
Cl1 0.000 0.000 0.000  0.09


# 2
A PBEsol-optimized structure of SiSbW2, computed with meta-GGA SCAN.

Calculated values
* DOS at the Fermi energy: 0.5801 states/eV per atom
* excess energy over the best structure of this formula in the dataset: 0.0000 eV/atom
* energy relative to the elements, uncorrected: 410 meV/atom

Cell: 3.192 4.699 4.820 Å, 106.37 109.34 90.00°
Fractional positions:
Sb1 0.498 0.463 0.997
Si1 0.260 0.817 0.520
W1 0.995 0.943 0.991
W2 0.746 0.277 0.492


# 3
A PBEsol-optimized structure of SrZn2Pb2, computed with meta-GGA SCAN.

Calculated values
* DOS at the Fermi energy: 0.3412 states/eV per atom

Cell: 4.741 4.741 6.581 Å, 111.11 111.11 90.00°
Fractional positions:
Pb1 0.250 0.750 0.500
Pb2 0.750 0.250 0.500
Sr1 0.000 0.000 0.000
Zn1 0.394 0.394 0.789
Zn2 0.606 0.606 0.211


# 4
A PBEsol-optimized structure of PPbI2O, computed with meta-GGA SCAN.

Calculated values
* DOS at the Fermi energy: 0.3204 states/eV per atom
* excess energy over the best structure of this formula in the dataset: 0.0000 eV/atom
* energy relative to the elements, uncorrected: -216 meV/atom

Cell: 3.591 5.815 5.815 Å, 90.00 90.00 90.00°
Fractional positions:
Pb1 0.500 0.500 0.500
I1 0.000 0.000 0.500
I2 0.000 0.500 0.000
O1 0.500 0.000 0.000
P1 0.000 0.000 0.000


# 5
A PBEsol-optimized structure of AlSnP2S, computed with meta-GGA SCAN.

Calculated values
* DOS at the Fermi energy: 0.7547 states/eV per atom
* energy relative to the elements, uncorrected: 342 meV/atom

Cell: 4.651 4.651 4.610 Å, 90.00 90.00 90.00°
Fractional positions:
P1 0.000 0.500 0.000
P2 0.500 0.000 0.000
S1 0.000 0.000 0.500
Sn1 0.500 0.500 0.500
Al1 0.000 0.000 0.000


# 6
A PBEsol-optimized structure of PIr2Os, computed with meta-GGA SCAN.

Calculated values
* DOS at the Fermi energy: 0.5618 states/eV per atom

Cell: 2.758 3.602 5.617 Å, 90.00 90.00 90.00°
Fractional positions:
Ir1 0.000 0.000 0.970
Ir2 0.500 0.500 0.254
Os1 0.000 0.000 0.480
P1 0.500 0.500 0.797


# 7
A PBEsol-optimized structure of KLuC2O6, computed with meta-GGA SCAN.

Calculated values
* DOS at the Fermi energy: 0.0000 states/eV per atom
* energy relative to the elements, uncorrected: -2350 meV/atom

Cell: 6.232 6.232 6.796 Å, 102.71 102.71 97.39°
Fractional positions:
K1 0.382 0.618 0.750
K2 0.618 0.382 0.250
Lu1 0.911 0.089 0.750
Lu2 0.089 0.911 0.250
C1 0.357 0.100 0.747
C2 0.643 0.900 0.253
C3 0.900 0.643 0.753
C4 0.100 0.357 0.247
O1 0.562 0.088 0.763
O2 0.438 0.912 0.237
O3 0.912 0.438 0.737
O4 0.088 0.562 0.263
O5 0.290 0.240 0.879
O6 0.710 0.760 0.121
O7 0.760 0.710 0.621
O8 0.240 0.290 0.379
O9 0.197 0.960 0.597
O10 0.803 0.040 0.403
O11 0.040 0.803 0.903
O12 0.960 0.197 0.097


# 8
A PBEsol-optimized structure of ZrCu, computed with meta-GGA SCAN.

Calculated values
* DOS at the Fermi energy: 0.6382 states/eV per atom

Cell: 3.181 4.396 5.506 Å, 113.75 106.79 90.00°
Fractional positions:
Cu1 0.153 0.405 0.305
Cu2 0.847 0.595 0.695
Zr1 0.614 0.865 0.228
Zr2 0.386 0.135 0.772


# 9
A PBEsol-optimized structure of SrY2Ta, computed with meta-GGA SCAN.

Calculated values
* DOS at the Fermi energy: 1.3904 states/eV per atom
* excess energy over the best structure of this formula in the dataset: 0.0000 eV/atom

Cell: 3.374 3.374 10.491 Å, 90.00 90.00 90.00°
Fractional positions:
Sr1 0.500 0.500 0.000
Ta1 0.500 0.500 0.500
Y1 0.000 0.000 0.691
Y2 0.000 0.000 0.309


# 10
A PBEsol-optimized structure of CsSr2Pb2, computed with meta-GGA SCAN.

Calculated values
* DOS at the Fermi energy: 0.7692 states/eV per atom

Cell: 5.919 5.919 7.552 Å, 113.07 113.07 90.00°
Last column: magnetic moment on the atom in μB.
Fractional positions:
Pb1 0.383 0.383 0.766  0.08
Pb2 0.617 0.617 0.234  0.08
Cs1 0.000 0.000 0.000  0.00
Sr1 0.250 0.750 0.500  0.03
Sr2 0.750 0.250 0.500  0.03


# 11
A PBEsol-optimized structure of Y2ScPb, computed with meta-GGA SCAN.

Calculated values
* DOS at the Fermi energy: 1.1460 states/eV per atom

Cell: 4.535 4.535 5.984 Å, 112.27 112.27 90.00°
Fractional positions:
Pb1 0.000 0.000 0.000
Sc1 0.500 0.500 0.000
Y1 0.750 0.250 0.500
Y2 0.250 0.750 0.500


# 12
A PBEsol-optimized structure of LaCu2Tc, computed with meta-GGA SCAN.

Calculated values
* DOS at the Fermi energy: 0.7128 states/eV per atom
* excess energy over the best structure of this formula in the dataset: 0.0000 eV/atom

Cell: 3.957 3.957 4.155 Å, 90.00 90.00 90.00°
Last column: magnetic moment on the atom in μB.
Fractional positions:
Cu1 0.000 0.500 0.000  0.00
Cu2 0.500 0.000 0.000  0.00
La1 0.500 0.500 0.500  0.01
Tc1 0.000 0.000 0.500  0.93


# 13
A PBEsol-optimized structure of La2ZnAu, computed with meta-GGA SCAN.

Calculated values
* DOS at the Fermi energy: 0.6262 states/eV per atom

Cell: 3.731 5.216 5.216 Å, 90.06 90.00 90.00°
Fractional positions:
Zn1 0.500 0.000 0.000
Au1 0.500 0.500 0.500
La1 0.000 0.500 0.000
La2 0.000 0.000 0.500


# 14
A PBEsol-optimized structure of ZrIrPb2, computed with meta-GGA SCAN.

Calculated values
* DOS at the Fermi energy: 1.0523 states/eV per atom
* excess energy over the best structure of this formula in the dataset: 0.1115 eV/atom

Cell: 4.939 4.939 4.939 Å, 60.00 60.00 60.00°
Fractional positions:
Ir1 0.500 0.500 0.500
Pb1 0.000 0.000 0.000
Pb2 0.750 0.750 0.750
Zr1 0.250 0.250 0.250


# 15
A PBEsol-optimized structure of Y2Mg, computed with meta-GGA SCAN.

Calculated values
* DOS at the Fermi energy: 1.1698 states/eV per atom

Cell: 3.389 9.294 9.294 Å, 120.00 90.00 90.00°
Fractional positions:
Mg1 0.000 0.000 0.000
Mg2 0.500 0.333 0.667
Mg3 0.500 0.667 0.333
Y1 0.500 0.000 0.701
Y2 0.500 0.701 0.000
Y3 0.500 0.299 0.299
Y4 0.000 0.000 0.369
Y5 0.000 0.369 0.000
Y6 0.000 0.631 0.631


# 16
A PBEsol-optimized structure of KSeIBr2, computed with meta-GGA SCAN.

Calculated values
* DOS at the Fermi energy: 1.1850 states/eV per atom
* energy relative to the elements, uncorrected: 151 meV/atom

Cell: 5.908 5.908 6.090 Å, 90.00 90.00 90.00°
Last column: magnetic moment on the atom in μB.
Fractional positions:
I1 0.500 0.500 0.500  0.66
K1 0.000 0.000 0.000  0.00
Se1 0.000 0.000 0.500  1.17
Br1 0.000 0.500 0.000  0.34
Br2 0.500 0.000 0.000  0.34


# 17
A PBEsol-optimized structure of PNClF, computed with meta-GGA SCAN.

Calculated values
* DOS at the Fermi energy: 0.0000 states/eV per atom
* energy relative to the elements, uncorrected: -1313 meV/atom

Cell: 7.808 8.014 8.014 Å, 74.61 90.00 90.00°
Fractional positions:
Cl1 0.441 0.169 0.232
Cl2 0.941 0.831 0.768
Cl3 0.941 0.232 0.169
Cl4 0.441 0.768 0.831
Cl5 0.999 0.740 0.260
Cl6 0.499 0.260 0.740
F1 0.635 0.910 0.434
F2 0.135 0.090 0.566
F3 0.135 0.434 0.910
F4 0.635 0.566 0.090
F5 0.204 0.512 0.488
F6 0.704 0.488 0.512
N1 0.569 0.859 0.141
N2 0.069 0.141 0.859
N3 0.332 0.814 0.400
N4 0.832 0.186 0.600
N5 0.832 0.400 0.814
N6 0.332 0.600 0.186
P1 0.490 0.917 0.298
P2 0.990 0.083 0.702
P3 0.990 0.298 0.917
P4 0.490 0.702 0.083
P5 0.239 0.670 0.330
P6 0.739 0.330 0.670


# 18
A PBEsol-optimized structure of MnAlTc2, computed with meta-GGA SCAN.

Calculated values
* DOS at the Fermi energy: 0.8133 states/eV per atom

Cell: 2.995 4.103 4.254 Å, 90.00 90.00 90.00°
Last column: magnetic moment on the atom in μB.
Fractional positions:
Mn1 0.000 0.500 0.500  3.15
Tc1 0.000 0.000 0.000  -0.22
Tc2 0.500 0.000 0.500  -0.12
Al1 0.500 0.500 0.000  -0.03


# 19
A PBEsol-optimized structure of CeDy4S7, computed with meta-GGA SCAN.

Calculated values
* DOS at the Fermi energy: 0.3045 states/eV per atom
* energy relative to the elements, uncorrected: -2315 meV/atom

Cell: 3.772 6.674 11.509 Å, 104.16 90.00 106.41°
Last column: magnetic moment on the atom in μB.
Fractional positions:
Ce1 0.113 0.226 0.421  0.95
Dy1 0.300 0.600 0.186  0.01
Dy2 0.699 0.399 0.812  0.00
Dy3 0.000 0.000 0.998  0.01
Dy4 0.886 0.771 0.581  0.01
S1 0.262 0.523 0.655  -0.01
S2 0.746 0.492 0.349  -0.02
S3 0.658 0.317 0.050  0.00
S4 0.340 0.681 0.950  0.00
S5 0.956 0.913 0.211  -0.01
S6 0.042 0.085 0.784  0.00
S7 0.497 0.994 0.505  -0.02


# 20
A PBEsol-optimized structure of Ta4Co4Si7, computed with meta-GGA SCAN.

Calculated values
* DOS at the Fermi energy: 0.5113 states/eV per atom
* energy relative to the elements, uncorrected: -579 meV/atom

Cell: 4.923 9.131 9.131 Å, 85.83 74.36 74.36°
Fractional positions:
Ta1 0.866 0.268 0.000
Ta2 0.134 0.732 0.000
Ta3 0.134 0.000 0.732
Ta4 0.866 0.000 0.268
Ta5 0.500 0.810 0.190
Ta6 0.500 0.190 0.810
Ta7 0.310 0.190 0.190
Ta8 0.690 0.810 0.810
Co1 0.101 0.798 0.500
Co2 0.399 0.202 0.500
Co3 0.399 0.500 0.202
Co4 0.101 0.500 0.798
Co5 0.899 0.500 0.202
Co6 0.601 0.500 0.798
Co7 0.601 0.798 0.500
Co8 0.899 0.202 0.500
Si1 0.500 0.595 0.405
Si2 0.500 0.405 0.595
Si3 0.095 0.405 0.405
Si4 0.905 0.595 0.595
Si5 0.751 0.000 0.000
Si6 0.249 0.000 0.000
Si7 0.709 0.583 0.000
Si8 0.291 0.417 0.000
Si9 0.291 0.000 0.417
Si10 0.709 0.000 0.583
Si11 0.000 0.298 0.702
Si12 0.000 0.702 0.298
Si13 0.298 0.702 0.702
Si14 0.702 0.298 0.298


| no. | total energy (eV per atom) |
| --- | --- |
| 1 | -32.046 |
| 2 | -46.253 |
| 3 | -40.530 |
| 4 | -33.394 |
| 5 | -14.478 |
| 6 | -55.802 |
| 7 | -14.476 |
| 8 | -23.058 |
| 9 | -35.738 |
| 10 | -47.225 |
| 11 | -36.831 |
| 12 | -26.776 |
| 13 | -42.908 |
| 14 | -63.188 |
| 15 | -20.210 |
| 16 | -20.662 |
| 17 | -9.115 |
| 18 | -24.244 |
| 19 | -27.577 |
| 20 | -27.623 |